A) # TlSiTeI2, relaxed, DFT PBE-GGA
# Crystal system ... tetragonal
# Mass density ... 4911 kg/m3
data_TlSiTeI2
_chemical_formula_sum 'Tl1 Si1 Te1 I2'
_cell_length_a 5.932
_cell_length_b 5.932
_cell_length_c 5.899
_cell_angle_alpha 90.00
_cell_angle_beta 90.00
_cell_angle_gamma 90.00
_space_group_name_H-M_alt 'P 4/m m m'
_space_group_IT_number 123
_space_group_name_Hall '-P 4 2'
loop_
_atom_site_label
_atom_site_type_symbol
_atom_site_fract_x
_atom_site_fract_y
_atom_site_fract_z
Tl1 Tl 0.000 0.000 0.000
Si1 Si 0.500 0.500 0.500
Te1 Te 0.000 0.000 0.500
I1 I 0.000 0.500 0.000

***

B) # TlSiTeI2, relaxed, DFT PBE-GGA
# Crystal system ... tetragonal
# Mass density ... 5728 kg/m3
data_TlSiTeI2
_chemical_formula_sum 'Tl1 Si1 Te1 I2'
_cell_length_a 5.723
_cell_length_b 5.723
_cell_length_c 5.433
_cell_angle_alpha 90.00
_cell_angle_beta 90.00
_cell_angle_gamma 90.00
_space_group_name_H-M_alt 'P 4/m m m'
_space_group_IT_number 123
_space_group_name_Hall '-P 4 2'
loop_
_atom_site_label
_atom_site_type_symbol
_atom_site_fract_x
_atom_site_fract_y
_atom_site_fract_z
Tl1 Tl 0.000 0.000 0.000
Si1 Si 0.500 0.500 0.500
Te1 Te 0.500 0.500 0.000
I1 I 0.000 0.500 0.500

***

Last place for stability: A)

***

A) # VSiTeI2, relaxed, DFT PBE-GGA
# Crystal system ... tetragonal
# Mass density ... 4816 kg/m3
data_VSiTeI2
_chemical_formula_sum 'V1 Si1 Te1 I2'
_cell_length_a 5.440
_cell_length_b 5.440
_cell_length_c 5.363
_cell_angle_alpha 90.00
_cell_angle_beta 90.00
_cell_angle_gamma 90.00
_space_group_name_H-M_alt 'P 4/m m m'
_space_group_IT_number 123
_space_group_name_Hall '-P 4 2'
loop_
_atom_site_label
_atom_site_type_symbol
_atom_site_fract_x
_atom_site_fract_y
_atom_site_fract_z
V1 V 0.000 0.000 0.000
Si1 Si 0.500 0.500 0.500
Te1 Te 0.000 0.000 0.500
I1 I 0.000 0.500 0.000

***

B) # VSiTeI2, relaxed, DFT PBE-GGA
# Crystal system ... tetragonal
# Mass density ... 4656 kg/m3
data_VSiTeI2
_chemical_formula_sum 'V1 Si1 Te1 I2'
_cell_length_a 5.466
_cell_length_b 5.466
_cell_length_c 5.497
_cell_angle_alpha 90.00
_cell_angle_beta 90.00
_cell_angle_gamma 90.00
_space_group_name_H-M_alt 'P 4/m m m'
_space_group_IT_number 123
_space_group_name_Hall '-P 4 2'
loop_
_atom_site_label
_atom_site_type_symbol
_atom_site_fract_x
_atom_site_fract_y
_atom_site_fract_z
V1 V 0.000 0.000 0.000
Si1 Si 0.500 0.500 0.500
Te1 Te 0.500 0.500 0.000
I1 I 0.000 0.500 0.500

***

Last place for stability: B)

***

A) # SiTe2WI, relaxed, DFT PBE-GGA
# Crystal system ... tetragonal
# Mass density ... 6299 kg/m3
data_SiTe2WI
_chemical_formula_sum 'Si1 Te2 W1 I1'
_cell_length_a 5.294
_cell_length_b 5.294
_cell_length_c 5.588
_cell_angle_alpha 90.00
_cell_angle_beta 90.00
_cell_angle_gamma 90.00
_space_group_name_H-M_alt 'P 4/m m m'
_space_group_IT_number 123
_space_group_name_Hall '-P 4 2'
loop_
_atom_site_label
_atom_site_type_symbol
_atom_site_fract_x
_atom_site_fract_y
_atom_site_fract_z
Si1 Si 0.000 0.000 0.000
Te1 Te 0.000 0.500 0.500
W1 W 0.500 0.500 0.500
I1 I 0.500 0.500 0.000

***

B) # SiTe2WI, relaxed, DFT PBE-GGA
# Crystal system ... tetragonal
# Mass density ... 6712 kg/m3
data_SiTe2WI
_chemical_formula_sum 'Si1 Te2 W1 I1'
_cell_length_a 5.308
_cell_length_b 5.308
_cell_length_c 5.216
_cell_angle_alpha 90.00
_cell_angle_beta 90.00
_cell_angle_gamma 90.00
_space_group_name_H-M_alt 'P 4/m m m'
_space_group_IT_number 123
_space_group_name_Hall '-P 4 2'
loop_
_atom_site_label
_atom_site_type_symbol
_atom_site_fract_x
_atom_site_fract_y
_atom_site_fract_z
Si1 Si 0.000 0.000 0.000
Te1 Te 0.000 0.500 0.000
W1 W 0.500 0.500 0.500
I1 I 0.000 0.000 0.500

***

Last place for stability: B)

***

A) # YSiTeI2, relaxed, DFT PBE-GGA
# Crystal system ... tetragonal
# Mass density ... 3942 kg/m3
data_YSiTeI2
_chemical_formula_sum 'Y1 Si1 Te1 I2'
_cell_length_a 5.891
_cell_length_b 5.891
_cell_length_c 6.048
_cell_angle_alpha 90.00
_cell_angle_beta 90.00
_cell_angle_gamma 90.00
_space_group_name_H-M_alt 'P 4/m m m'
_space_group_IT_number 123
_space_group_name_Hall '-P 4 2'
loop_
_atom_site_label
_atom_site_type_symbol
_atom_site_fract_x
_atom_site_fract_y
_atom_site_fract_z
Y1 Y 0.000 0.000 0.000
Si1 Si 0.500 0.500 0.500
Te1 Te 0.000 0.000 0.500
I1 I 0.000 0.500 0.000

***

B) # YSiTeI2, relaxed, DFT PBE-GGA
# Crystal system ... tetragonal
# Mass density ... 5123 kg/m3
data_YSiTeI2
_chemical_formula_sum 'Y1 Si1 Te1 I2'
_cell_length_a 5.403
_cell_length_b 5.403
_cell_length_c 5.534
_cell_angle_alpha 90.00
_cell_angle_beta 90.00
_cell_angle_gamma 90.00
_space_group_name_H-M_alt 'P 4/m m m'
_space_group_IT_number 123
_space_group_name_Hall '-P 4 2'
loop_
_atom_site_label
_atom_site_type_symbol
_atom_site_fract_x
_atom_site_fract_y
_atom_site_fract_z
Y1 Y 0.000 0.000 0.000
Si1 Si 0.500 0.500 0.500
Te1 Te 0.500 0.500 0.000
I1 I 0.000 0.500 0.500

***

Last place for stability: B)

***

A) # ZnSiTeI2, relaxed, DFT PBE-GGA
# Crystal system ... tetragonal
# Mass density ... 4868 kg/m3
data_ZnSiTeI2
_chemical_formula_sum 'Zn1 Si1 Te1 I2'
_cell_length_a 5.413
_cell_length_b 5.413
_cell_length_c 5.529
_cell_angle_alpha 90.00
_cell_angle_beta 90.00
_cell_angle_gamma 90.00
_space_group_name_H-M_alt 'P 4/m m m'
_space_group_IT_number 123
_space_group_name_Hall '-P 4 2'
loop_
_atom_site_label
_atom_site_type_symbol
_atom_site_fract_x
_atom_site_fract_y
_atom_site_fract_z
Zn1 Zn 0.000 0.000 0.000
Si1 Si 0.500 0.500 0.500
Te1 Te 0.000 0.000 0.500
I1 I 0.000 0.500 0.000

***

B) # ZnSiTeI2, relaxed, DFT PBE-GGA
# Crystal system ... tetragonal
# Mass density ... 3760 kg/m3
data_ZnSiTeI2
_chemical_formula_sum 'Zn1 Si1 Te1 I2'
_cell_length_a 6.274
_cell_length_b 6.274
_cell_length_c 5.328
_cell_angle_alpha 90.00
_cell_angle_beta 90.00
_cell_angle_gamma 90.00
_space_group_name_H-M_alt 'P 4/m m m'
_space_group_IT_number 123
_space_group_name_Hall '-P 4 2'
loop_
_atom_site_label
_atom_site_type_symbol
_atom_site_fract_x
_atom_site_fract_y
_atom_site_fract_z
Zn1 Zn 0.000 0.000 0.000
Si1 Si 0.500 0.500 0.000
Te1 Te 0.500 0.500 0.500
I1 I 0.000 0.500 0.500

***

Last place for stability: B)

***

A) # ZrSiTeI2, relaxed, DFT PBE-GGA
# Crystal system ... tetragonal
# Mass density ... 4499 kg/m3
data_ZrSiTeI2
_chemical_formula_sum 'Zr1 Si1 Te1 I2'
_cell_length_a 5.714
_cell_length_b 5.714
_cell_length_c 5.660
_cell_angle_alpha 90.00
_cell_angle_beta 90.00
_cell_angle_gamma 90.00
_space_group_name_H-M_alt 'P 4/m m m'
_space_group_IT_number 123
_space_group_name_Hall '-P 4 2'
loop_
_atom_site_label
_atom_site_type_symbol
_atom_site_fract_x
_atom_site_fract_y
_atom_site_fract_z
Zr1 Zr 0.000 0.000 0.000
Si1 Si 0.500 0.500 0.500
Te1 Te 0.000 0.000 0.500
I1 I 0.000 0.500 0.000

***

B) # ZrSiTeI2, relaxed, DFT PBE-GGA
# Crystal system ... tetragonal
# Mass density ... 5310 kg/m3
data_ZrSiTeI2
_chemical_formula_sum 'Zr1 Si1 Te1 I2'
_cell_length_a 5.351
_cell_length_b 5.351
_cell_length_c 5.469
_cell_angle_alpha 90.00
_cell_angle_beta 90.00
_cell_angle_gamma 90.00
_space_group_name_H-M_alt 'P 4/m m m'
_space_group_IT_number 123
_space_group_name_Hall '-P 4 2'
loop_
_atom_site_label
_atom_site_type_symbol
_atom_site_fract_x
_atom_site_fract_y
_atom_site_fract_z
Zr1 Zr 0.000 0.000 0.000
Si1 Si 0.500 0.500 0.500
Te1 Te 0.500 0.500 0.000
I1 I 0.000 0.500 0.500

***

Last place for stability: B)